Entry 1:
A relaxed structure of Tl3Hg4. Source: Alexandria, functional PBE-GGA.

The calculated formation energy comes out at 0.061 eV per atom. The magnetization comes out at 0.0000 μB per atom. The uncorrected energy comes out at -1.13 eV/atom. The mass density comes out at 10.830 g/cm³. As for the distance to the lowest polymorph of the same formula: 0.0743 eV per atom.

Lattice parameters (Å, degrees): 6.621 6.621 5.716 90.00 90.00 120.00
Positions (direct):
1 Tl 0.000 0.500 0.000
2 Tl 0.500 0.000 0.000
3 Tl 0.500 0.500 0.000
4 Hg 0.000 0.000 0.254
5 Hg 0.000 0.000 0.746
6 Hg 0.333 0.667 0.500
7 Hg 0.667 0.333 0.500



Entry 2:
A relaxed structure of TlHg2. Source: Alexandria, functional PBE-GGA.

The calculated formation energy comes out at -0.016 eV per atom. The magnetization comes out at 0.0000 μB per atom. The uncorrected energy comes out at -1.01 eV/atom. The mass density comes out at 11.731 g/cm³. As for the distance to the lowest polymorph of the same formula: 0.0058 eV per atom.

Lattice parameters (Å, degrees): 6.562 6.562 8.553 110.30 110.30 29.91
Positions (direct):
1 Tl 0.187 0.187 0.146
2 Tl 0.813 0.813 0.854
3 Hg 0.135 0.135 0.517
4 Hg 0.464 0.464 0.205
5 Hg 0.536 0.536 0.795
6 Hg 0.865 0.865 0.483



Entry 3:
A relaxed structure of TlHg. Source: Alexandria, functional PBE-GGA.

The calculated formation energy comes out at 0.023 eV per atom. The magnetization comes out at 0.0000 μB per atom. The uncorrected energy comes out at -1.31 eV/atom. The mass density comes out at 11.112 g/cm³.

Lattice parameters (Å, degrees): 12.053 12.053 3.333 90.00 90.00 90.00
Positions (direct):
1 Tl 0.102 0.174 0.000
2 Tl 0.174 0.898 0.000
3 Tl 0.351 0.370 0.500
4 Tl 0.370 0.649 0.500
5 Tl 0.630 0.351 0.500
6 Tl 0.649 0.630 0.500
7 Tl 0.826 0.102 0.000
8 Tl 0.898 0.826 0.000
9 Hg 0.097 0.411 0.500
10 Hg 0.136 0.639 0.000
11 Hg 0.361 0.136 0.000
12 Hg 0.411 0.903 0.500
13 Hg 0.589 0.097 0.500
14 Hg 0.639 0.864 0.000
15 Hg 0.864 0.361 0.000
16 Hg 0.903 0.589 0.500



Entry 4:
A relaxed structure of Tl3Hg7. Source: Alexandria, functional PBE-GGA.

The calculated formation energy comes out at 0.009 eV per atom. The magnetization comes out at 0.0000 μB per atom. The uncorrected energy comes out at -0.91 eV/atom. The mass density comes out at 11.290 g/cm³. As for the distance to the lowest polymorph of the same formula: 0.0340 eV per atom.

Lattice parameters (Å, degrees): 11.263 11.263 5.401 90.00 90.00 120.00
Positions (direct):
1 Tl 0.200 0.399 0.000
2 Tl 0.200 0.800 0.000
3 Tl 0.399 0.200 0.500
4 Tl 0.601 0.800 0.000
5 Tl 0.800 0.200 0.500
6 Tl 0.800 0.601 0.500
7 Hg 0.071 0.535 0.373
8 Hg 0.104 0.208 0.510
9 Hg 0.104 0.896 0.510
10 Hg 0.208 0.104 0.010
11 Hg 0.333 0.667 0.666
12 Hg 0.465 0.535 0.373
13 Hg 0.465 0.929 0.373
14 Hg 0.535 0.071 0.873
15 Hg 0.535 0.465 0.873
16 Hg 0.667 0.333 0.166
17 Hg 0.792 0.896 0.510
18 Hg 0.896 0.104 0.010
19 Hg 0.896 0.792 0.010
20 Hg 0.929 0.465 0.873



Entry 5:
A relaxed structure of Tl3Hg. Source: Alexandria, functional PBE-GGA.

The calculated formation energy comes out at 0.010 eV per atom. The magnetization comes out at 0.0000 μB per atom. The uncorrected energy comes out at -1.84 eV/atom. The mass density comes out at 11.224 g/cm³.

Lattice parameters (Å, degrees): 6.424 6.424 6.424 116.81 116.81 116.81
Positions (direct):
1 Tl 0.000 0.500 0.500
2 Tl 0.500 0.000 0.500
3 Tl 0.500 0.500 0.000
4 Hg 0.000 0.000 0.000



Entry 6:
A relaxed structure of TlHg. Source: Alexandria, functional PBE-GGA.

The calculated formation energy comes out at 0.015 eV per atom. The magnetization comes out at 0.0000 μB per atom. The uncorrected energy comes out at -1.32 eV/atom. The mass density comes out at 11.470 g/cm³.

Lattice parameters (Å, degrees): 5.193 10.317 6.566 90.00 90.00 90.00
Positions (direct):
1 Tl 0.250 0.084 0.114
2 Tl 0.250 0.416 0.114
3 Tl 0.250 0.750 0.117
4 Tl 0.750 0.250 0.883
5 Tl 0.750 0.584 0.886
6 Tl 0.750 0.916 0.886
7 Hg 0.250 0.250 0.599
8 Hg 0.250 0.583 0.602
9 Hg 0.250 0.917 0.602
10 Hg 0.750 0.083 0.398
11 Hg 0.750 0.417 0.398
12 Hg 0.750 0.750 0.401



Please write out number 4 again, unchanged.
A relaxed structure of Tl3Hg7. Source: Alexandria, functional PBE-GGA.

The calculated formation energy comes out at 0.009 eV per atom. The magnetization comes out at 0.0000 μB per atom. The uncorrected energy comes out at -0.91 eV/atom. The mass density comes out at 11.290 g/cm³. As for the distance to the lowest polymorph of the same formula: 0.0340 eV per atom.

Lattice parameters (Å, degrees): 11.263 11.263 5.401 90.00 90.00 120.00
Positions (direct):
1 Tl 0.200 0.399 0.000
2 Tl 0.200 0.800 0.000
3 Tl 0.399 0.200 0.500
4 Tl 0.601 0.800 0.000
5 Tl 0.800 0.200 0.500
6 Tl 0.800 0.601 0.500
7 Hg 0.071 0.535 0.373
8 Hg 0.104 0.208 0.510
9 Hg 0.104 0.896 0.510
10 Hg 0.208 0.104 0.010
11 Hg 0.333 0.667 0.666
12 Hg 0.465 0.535 0.373
13 Hg 0.465 0.929 0.373
14 Hg 0.535 0.071 0.873
15 Hg 0.535 0.465 0.873
16 Hg 0.667 0.333 0.166
17 Hg 0.792 0.896 0.510
18 Hg 0.896 0.104 0.010
19 Hg 0.896 0.792 0.010
20 Hg 0.929 0.465 0.873



Question: What is the formula in the fifth record?
Answer: Tl3Hg